LiSmSc2 | PBE | relaxed

Total moment   0.8 μB/f.u.
Space group   P4/mmm, No. 123
E_form   0.24 eV per atom
Uncorrected energy   -4.5865 eV/atom

Cell lengths 3.566, 5.367, 5.367 Å; angles 90.00, 90.00, 90.00 degrees
Element x y z (fractional)
Sc: 0.000 0.000 0.500
Sc: 0.000 0.500 0.000
Sm: 0.500 0.000 0.000
Li: 0.500 0.500 0.500

---

LiSmSc2 | PBE | relaxed

Total moment   0.4 μB/f.u.
Space group   R-3m, No. 166
E_form   0.16 eV per atom
Uncorrected energy   -4.6608 eV/atom

Cell lengths 3.353, 3.353, 10.799 Å; angles 81.07, 81.07, 60.00 degrees
Element x y z (fractional)
Sc: 0.746 0.746 0.761
Sc: 0.254 0.254 0.239
Sm: 0.500 0.500 0.500
Li: 0.000 0.000 0.000

---

LiSmSc2 | PBE | relaxed

Total moment   0.0 μB/f.u.
Space group   P4/mmm, No. 123
E_form   0.13 eV per atom
Uncorrected energy   -4.6973 eV/atom

Cell lengths 3.492, 3.492, 8.201 Å; angles 90.00, 90.00, 90.00 degrees
Element x y z (fractional)
Sc: 0.000 0.000 0.789
Sc: 0.000 0.000 0.211
Sm: 0.500 0.500 0.500
Li: 0.500 0.500 0.000